(1)
The following is a GGA-PBEsol calculation of a geometry-optimized CePdRh2 structure, from Alexandria via LeMat-Bulk.

Cell and atoms, written as extended XYZ:
```
4
Lattice="4.074 0.000 0.000 0.000 4.074 0.000 0.000 0.000 3.905" Properties=species:S:1:pos:R:3 pbc="T T T"
Ce 0.000 0.000 0.000
Pd 2.037 2.037 0.000
Rh 0.000 2.037 1.953
Rh 2.037 0.000 1.953
```

**Calculated formation energy**: -0.63 eV per atom
**Symmetry**: No. 123
**Mass density**: 11.59 g/cm³
**Density of states at the Fermi level**: 4.78 states/eV per cell
**Total magnetization**: 0.0 μB per formula unit

***

(2)
The following is a GGA-PBEsol calculation of a geometry-optimized Nb3InTe structure, from Alexandria via LeMat-Bulk.

Cell and atoms, written as extended XYZ:
```
5
Lattice="4.978 0.000 0.000 0.000 4.978 0.000 0.000 0.000 4.978" Properties=species:S:1:pos:R:3 pbc="T T T"
Nb 0.000 0.000 2.489
Nb 0.000 2.489 0.000
Nb 2.489 0.000 0.000
In 2.489 2.489 2.489
Te 0.000 0.000 0.000
```

**Symmetry**: No. 221
**Mass density**: 7.02 g/cm³
**Density of states at the Fermi level**: 7.24 states/eV per cell
**E**: -32.8 eV for the cell shown
**Total magnetization**: 0.0 μB per formula unit

***

(3)
The following is a GGA-PBEsol calculation of a geometry-optimized LiTcPd2C structure, from Alexandria via LeMat-Bulk.

Cell and atoms, written as extended XYZ:
```
5
Lattice="4.824 0.000 0.000 0.000 4.824 0.000 0.000 0.000 3.812" Properties=species:S:1:pos:R:3 pbc="T T T"
Li 0.000 0.000 0.000
Tc 2.412 2.412 1.906
Pd 0.000 2.412 1.906
Pd 2.412 0.000 1.906
C 2.412 2.412 0.000
```

**Calculated formation energy**: 1.08 eV per atom
**Symmetry**: No. 123
**Mass density**: 6.17 g/cm³
**Density of states at the Fermi level**: 3.09 states/eV per cell
**Total magnetization**: 0.0 μB per formula unit

***

(4)
The following is a GGA-PBEsol calculation of a geometry-optimized Lu2OsPd structure, from Alexandria via LeMat-Bulk.

Cell and atoms, written as extended XYZ:
```
4
Lattice="0.000 3.322 3.322 3.322 0.000 3.322 3.322 3.322 0.000" Properties=species:S:1:pos:R:3 pbc="T T T"
Lu 1.661 1.661 1.661
Lu 4.984 4.984 4.984
Os 0.000 0.000 0.000
Pd 3.322 3.322 3.322
```

**Calculated formation energy**: -0.67 eV per atom
**Symmetry**: No. 225
**Mass density**: 14.64 g/cm³
**Density of states at the Fermi level**: 1.25 states/eV per cell
**Total magnetization**: 0.0 μB per formula unit

***

(5)
The following is a GGA-PBEsol calculation of a geometry-optimized LaCeHg2 structure, from Alexandria via LeMat-Bulk.

Cell and atoms, written as extended XYZ:
```
4
Lattice="0.000 3.790 3.790 3.790 0.000 3.790 3.790 3.790 0.000" Properties=species:S:1:pos:R:3 pbc="T T T"
La 0.000 0.000 0.000
Ce 3.790 3.790 3.790
Hg 1.895 1.895 1.895
Hg 5.684 5.684 5.684
```

**Calculated formation energy**: -0.40 eV per atom
**Symmetry**: No. 225
**Mass density**: 10.38 g/cm³
**Density of states at the Fermi level**: 10.58 states/eV per cell
**Total magnetization**: 1.7 μB per formula unit

***

(6)
The following is a GGA-PBEsol calculation of a geometry-optimized Cd5In structure, from Alexandria via LeMat-Bulk.

Cell and atoms, written as extended XYZ:
```
6
Lattice="6.210 -1.515 0.000 6.210 1.515 0.000 -2.504 0.000 6.915" Properties=species:S:1:pos:R:3 pbc="T T T"
Cd 0.000 0.000 0.000
Cd -0.951 0.000 4.262
Cd 2.460 0.000 4.684
Cd 4.196 0.000 1.883
Cd 6.603 0.000 6.505
In 7.484 0.000 2.340
```

**Calculated formation energy**: 0.03 eV per atom
**Symmetry**: No. 8
**Mass density**: 8.64 g/cm³
**Density of states at the Fermi level**: 2.29 states/eV per cell
**Total magnetization**: 0.0 μB per formula unit

***

(7)
The following is a GGA-PBEsol calculation of a geometry-optimized Fe3MoH structure, from Alexandria via LeMat-Bulk.

Cell and atoms, written as extended XYZ:
```
5
Lattice="3.584 0.000 0.000 0.000 3.584 0.000 0.000 0.000 3.584" Properties=species:S:1:pos:R:3 pbc="T T T"
Fe 0.000 0.000 1.792
Fe 0.000 1.792 0.000
Fe 1.792 0.000 0.000
Mo 1.792 1.792 1.792
H 0.000 0.000 0.000
```

**Symmetry**: No. 221
**Mass density**: 9.54 g/cm³
**Density of states at the Fermi level**: 4.47 states/eV per cell
**E**: -42.2 eV for the cell shown
**Total magnetization**: 0.0 μB per formula unit

***

(8)
The following is a GGA-PBEsol calculation of a geometry-optimized Li2GeSb2Te5 structure, from Alexandria via LeMat-Bulk.

Cell and atoms, written as extended XYZ:
```
10
Lattice="2.132 1.231 17.324 -2.132 1.231 17.324 0.000 -2.461 17.324" Properties=species:S:1:pos:R:3 pbc="T T T"
Li 0.000 0.000 0.000
Li 0.000 0.000 19.459
Ge 0.000 0.000 30.987
Sb 0.000 0.000 9.928
Sb 0.000 0.000 40.654
Te 0.000 0.000 4.271
Te 0.000 0.000 15.087
Te 0.000 0.000 25.313
Te 0.000 0.000 35.804
Te 0.000 0.000 46.319
```

**Symmetry**: No. 160
**Mass density**: 5.90 g/cm³
**Density of states at the Fermi level**: 0.58 states/eV per cell
**E**: -38.9 eV for the cell shown
**Total magnetization**: 0.0 μB per formula unit

***

(9)
The following is a GGA-PBEsol calculation of a geometry-optimized TaNO2 structure, from Alexandria via LeMat-Bulk.

Cell and atoms, written as extended XYZ:
```
4
Lattice="1.479 0.854 5.960 -1.479 0.854 5.960 0.000 -1.708 5.960" Properties=species:S:1:pos:R:3 pbc="T T T"
Ta 0.000 0.000 0.000
N 0.000 0.000 8.940
O 0.000 0.000 1.929
O 0.000 0.000 15.950
```

**Symmetry**: No. 166
**Mass density**: 8.35 g/cm³
**Density of states at the Fermi level**: 2.93 states/eV per cell
**E**: -28.3 eV for the cell shown
**Total magnetization**: 1.3 μB per formula unit

***

(10)
The following is a GGA-PBEsol calculation of a geometry-optimized Cs2ZrAl2Mo6O24 structure, from Alexandria via LeMat-Bulk.

Cell and atoms, written as extended XYZ:
```
35
Lattice="8.373 0.000 0.000 -1.338 8.269 0.000 -1.338 -1.613 8.391" Properties=species:S:1:pos:R:3 pbc="T T T"
Cs 0.950 1.144 1.505
Cs 4.746 5.512 6.886
Zr 3.517 4.135 0.000
Al -1.338 3.328 4.196
Al 3.517 -0.806 4.196
Mo 0.492 5.272 1.991
Mo 0.705 0.629 5.513
Mo 0.516 5.205 6.514
Mo 5.180 1.451 1.877
Mo 4.991 6.028 2.878
Mo 5.204 1.385 6.400
O -0.925 5.742 1.151
O -0.084 -0.887 5.622
O -0.287 1.857 4.718
O -0.786 4.302 5.718
O 0.103 4.034 3.192
O -0.127 5.958 7.912
O 1.677 4.510 0.866
O 1.163 6.696 2.797
O 1.279 1.135 7.146
O 2.135 0.456 4.472
O 1.360 6.343 5.460
O 1.795 4.038 7.026
O 3.901 2.618 1.365
O 4.336 0.313 2.931
O 3.561 6.200 3.919
O 4.417 5.522 1.245
O 4.533 -0.039 5.594
O 4.019 2.146 7.525
O 5.823 0.699 0.480
O 5.593 2.623 5.199
O 6.483 2.355 2.673
O 5.983 4.800 3.674
O 5.780 7.544 2.769
O 6.621 0.915 7.240
```

**Symmetry**: No. 2
**Mass density**: 3.92 g/cm³
**Density of states at the Fermi level**: 0.00 states/eV per cell
**E**: -296.7 eV for the cell shown
**Total magnetization**: 0.0 μB per formula unit

***

(11)
The following is a GGA-PBEsol calculation of a geometry-optimized HfZnNO2 structure, from Alexandria via LeMat-Bulk.

Cell and atoms, written as extended XYZ:
```
5
Lattice="4.004 0.000 0.000 0.000 4.004 0.000 0.000 0.000 4.230" Properties=species:S:1:pos:R:3 pbc="T T T"
Hf 0.000 0.000 0.000
Zn 2.002 2.002 2.115
N 0.000 0.000 2.115
O 0.000 2.002 0.000
O 2.002 0.000 0.000
```

**Symmetry**: No. 123
**Mass density**: 7.10 g/cm³
**Density of states at the Fermi level**: 3.00 states/eV per cell
**E**: -36.4 eV for the cell shown
**Total magnetization**: 1.1 μB per formula unit

***

(12)
The following is a GGA-PBEsol calculation of a geometry-optimized RbBe2Ir2 structure, from Alexandria via LeMat-Bulk.

Cell and atoms, written as extended XYZ:
```
10
Lattice="7.513 0.000 0.000 0.000 7.513 0.000 0.000 0.000 2.663" Properties=species:S:1:pos:R:3 pbc="T T T"
Rb 0.000 0.000 0.000
Rb 3.756 3.756 0.000
Be 1.060 2.696 0.000
Be 2.696 6.453 0.000
Be 4.816 1.060 0.000
Be 6.453 4.816 0.000
Ir 0.975 4.731 1.331
Ir 2.782 0.975 1.331
Ir 4.731 6.538 1.331
Ir 6.538 2.782 1.331
```

**Calculated formation energy**: 0.39 eV per atom
**Symmetry**: No. 127
**Mass density**: 10.78 g/cm³
**Density of states at the Fermi level**: 8.68 states/eV per cell
**Total magnetization**: 0.0 μB per formula unit